A geometry-optimized BiAs2PtO structure, computed with GGA-PBE.

Structure (POSCAR):
```
BiAs2PtO
1.0
4.4003 0.0000 0.0000
0.0000 4.4003 0.0000
0.0000 0.0000 4.7792
Bi As Pt O
1 2 1 1
direct
0.0000 0.0000 0.0000
0.0000 0.5000 0.5000
0.5000 0.0000 0.5000
0.5000 0.5000 0.0000
0.0000 0.0000 0.5000
```

ΔE_f (raw) (eV per atom): 0.1555
Crystal system: tetragonal



A geometry-optimized KHfB structure, computed with GGA-PBE.

Structure (POSCAR):
```
KHfB
1.0
3.7210 0.0000 0.0000
-1.8605 3.2225 0.0000
0.0000 0.0000 13.3186
K Hf B
2 2 2
direct
0.0000 0.0000 0.0000
0.0000 0.0000 0.5000
0.3333 0.6667 0.2423
0.3333 0.6667 0.7577
0.6667 0.3333 0.1868
0.6667 0.3333 0.8132
```

ΔE to the lowest computed polymorph (meV per atom): 774.0
Energy relative to the elements (meV per atom): 705
Crystal system: hexagonal



A geometry-optimized Na3TiW structure, computed with GGA-PBE.

Structure (POSCAR):
```
Na3TiW
1.0
5.7295 0.0000 0.0000
0.0000 5.7295 0.0000
0.0000 0.0000 5.7295
Na Ti W
3 1 1
direct
0.0000 0.0000 0.5000
0.0000 0.5000 0.0000
0.5000 0.0000 0.0000
0.5000 0.5000 0.5000
0.0000 0.0000 0.0000
```

ΔE to the lowest computed polymorph (meV per atom): 0.0
Energy relative to the elements (meV per atom): 2185
Crystal system: cubic



A geometry-optimized NaTi2As2 structure, computed with GGA-PBE.

Structure (POSCAR):
```
NaTi2As2
1.0
-2.1227 2.1227 6.0297
2.1227 -2.1227 6.0297
2.1227 2.1227 -6.0297
Na Ti As
1 2 2
direct
0.0000 0.0000 0.0000
0.2500 0.7500 0.5000
0.7500 0.2500 0.5000
0.3657 0.3657 0.0000
0.6343 0.6343 0.0000
```

ΔE to the lowest computed polymorph (meV per atom): 0.0
Energy relative to the elements (meV per atom): -607
Crystal system: tetragonal



A geometry-optimized LaSm3Ni8 structure, computed with GGA-PBE.

Structure (POSCAR):
```
LaSm3Ni8
1.0
2.5747 1.4865 8.4261
-2.5747 1.4865 8.4261
0.0000 -2.9730 8.4261
La Sm Ni
1 3 8
direct
0.0000 0.0000 0.0000
0.3753 0.3753 0.3753
0.4999 0.4999 0.4999
0.8747 0.8747 0.8747
0.1874 0.1874 0.1874
0.4368 0.4368 0.9360
0.4368 0.9360 0.4368
0.4402 0.9373 0.9373
0.6877 0.6877 0.6877
0.9360 0.4368 0.4368
0.9373 0.4402 0.9373
0.9373 0.9373 0.4402
```

Energy relative to the elements (meV per atom): -350
Crystal system: trigonal



A geometry-optimized PaH8Rh6 structure, computed with GGA-PBE.

Structure (POSCAR):
```
PaH8Rh6
1.0
2.7820 1.6062 5.1938
-2.7820 1.6062 5.1938
0.0000 -3.2124 5.1938
Pa H Rh
1 8 6
direct
0.0000 0.0000 0.0000
0.1713 0.7234 0.7234
0.2766 0.2766 0.8287
0.2766 0.8287 0.2766
0.3104 0.3104 0.3104
0.6896 0.6896 0.6896
0.7234 0.1713 0.7234
0.7234 0.7234 0.1713
0.8287 0.2766 0.2766
0.0797 0.5917 0.5917
0.4083 0.4083 0.9203
0.4083 0.9203 0.4083
0.5917 0.0797 0.5917
0.5917 0.5917 0.0797
0.9203 0.4083 0.4083
```

Crystal system: trigonal
Energy (eV per atom): -5.4977



A geometry-optimized LaTiB3 structure, computed with GGA-PBE.

Structure (POSCAR):
```
LaTiB3
1.0
4.2648 0.0000 0.0000
0.0000 4.2648 0.0000
0.0000 0.0000 4.2648
La Ti B
1 1 3
direct
0.0000 0.0000 0.0000
0.5000 0.5000 0.5000
0.0000 0.5000 0.5000
0.5000 0.0000 0.5000
0.5000 0.5000 0.0000
```

ΔE to the lowest computed polymorph (meV per atom): 0.0
Energy relative to the elements (meV per atom): 360
Crystal system: cubic



A geometry-optimized Li2Cr2I7 structure, computed with GGA-PBE.

Structure (POSCAR):
```
Li2Cr2I7
1.0
3.5819 -6.3101 0.0000
3.5819 6.3101 0.0000
-2.8156 0.0000 11.1624
Li Cr I
2 2 7
direct
0.2019 0.2019 0.2185
0.7981 0.7981 0.7815
0.3352 0.6648 0.5000
0.6648 0.3352 0.5000
0.0000 0.0000 0.0000
0.0448 0.6844 0.6426
0.3156 0.9552 0.3574
0.4132 0.4132 0.6460
0.5868 0.5868 0.3540
0.6844 0.0448 0.6426
0.9552 0.3156 0.3574
```

ΔE_f (raw) (eV per atom): -0.5870
Crystal system: monoclinic



A geometry-optimized K2RbTaI6 structure, computed with GGA-PBE.

Structure (POSCAR):
```
K2RbTaI6
1.0
0.0000 6.2666 6.2666
6.2666 0.0000 6.2666
6.2666 6.2666 0.0000
K Rb Ta I
2 1 1 6
direct
0.2500 0.2500 0.2500
0.7500 0.7500 0.7500
0.0000 0.0000 0.0000
0.5000 0.5000 0.5000
0.2741 0.2741 0.7259
0.2741 0.7259 0.2741
0.2741 0.7259 0.7259
0.7259 0.2741 0.2741
0.7259 0.2741 0.7259
0.7259 0.7259 0.2741
```

ΔE_f (raw) (eV per atom): -0.8606
Crystal system: cubic



A geometry-optimized LiMg5In5 structure, computed with GGA-PBE.

Structure (POSCAR):
```
LiMg5In5
1.0
8.6846 -2.6431 0.0000
8.6846 2.6431 0.0000
-1.6373 0.0000 5.8800
Li Mg In
1 5 5
direct
0.0000 0.0000 0.0000
0.0000 0.0000 0.5000
0.3149 0.3149 0.8718
0.3944 0.3944 0.4341
0.6056 0.6056 0.5659
0.6851 0.6851 0.1282
0.1443 0.1443 0.8778
0.1821 0.1821 0.4061
0.5000 0.5000 0.0000
0.8179 0.8179 0.5939
0.8557 0.8557 0.1222
```

Energy relative to the elements (meV per atom): 3
Crystal system: monoclinic



A geometry-optimized Th4TlNi2 structure, computed with GGA-PBE.

Structure (POSCAR):
```
Th4TlNi2
1.0
1.9218 1.1096 14.9955
-1.9218 1.1096 14.9955
0.0000 -2.2191 14.9955
Th Tl Ni
4 1 2
direct
0.1083 0.1083 0.1083
0.3008 0.3008 0.3008
0.6992 0.6992 0.6992
0.8917 0.8917 0.8917
0.5000 0.5000 0.5000
0.4038 0.4038 0.4038
0.5962 0.5962 0.5962
```

Energy relative to the elements (meV per atom): -138
Crystal system: trigonal



A geometry-optimized CaCoTcAu2 structure, computed with GGA-PBE.

Structure (POSCAR):
```
CaCoTcAu2
1.0
5.0961 0.0000 0.0000
0.0000 5.0961 0.0000
0.0000 0.0000 4.6609
Ca Co Tc Au
1 1 1 2
direct
0.0000 0.0000 0.0000
0.5000 0.5000 0.5000
0.0000 0.0000 0.5000
0.0000 0.5000 0.0000
0.5000 0.0000 0.0000
```

Energy relative to the elements (meV per atom): 1897
Crystal system: tetragonal



A geometry-optimized HoZr3Co8 structure, computed with GGA-PBE.

Structure (POSCAR):
```
HoZr3Co8
1.0
2.4639 1.4225 8.0556
-2.4639 1.4225 8.0556
0.0000 -2.8450 8.0556
Ho Zr Co
1 3 8
direct
0.0000 0.0000 0.0000
0.1260 0.1260 0.1260
0.5006 0.5006 0.5006
0.6243 0.6243 0.6243
0.0622 0.0622 0.5593
0.0622 0.5593 0.0622
0.0663 0.5632 0.5632
0.3127 0.3127 0.3127
0.5593 0.0622 0.0622
0.5632 0.0663 0.5632
0.5632 0.5632 0.0663
0.8129 0.8129 0.8129
```

Energy relative to the elements (meV per atom): -276
Crystal system: trigonal